Compound: LaSiS2Cl
Source: Alexandria via LeMat-Bulk
Functional: PBE-GGA
Structure: relaxed

a b c (Å): 4.8123 4.8123 4.6485
angles (deg): 90.00 90.00 90.00
Each line ends with the local moment (μB).
Positions (direct):
Cl 0.0000 0.0000 0.5000  0.00
S 0.5000 0.0000 0.0000  -0.01
S 0.0000 0.5000 0.0000  -0.01
Si 0.0000 0.0000 0.0000  0.00
La 0.5000 0.5000 0.5000  0.22

Values from the calculation:
Formation energy without anion corrections, eV/atom: -0.97
Offset from the most stable computed form, meV/atom: 0.0
DOS(E_F), states/eV/f.u.: 3.7


Compound: La3Si2S8Cl
Source: Alexandria via LeMat-Bulk
Functional: PBE-GGA
Structure: relaxed

a b c (Å): 8.8338 8.8338 11.1250
angles (deg): 84.12 84.12 52.58
Positions (direct):
Si 0.3712 0.3071 0.0318
Si 0.3071 0.3712 0.5318
Si 0.6929 0.6288 0.4682
Si 0.6288 0.6929 0.9682
S 0.1050 0.5995 0.6441
S 0.8950 0.4005 0.3559
S 0.7190 0.4132 0.9444
S 0.7101 0.8578 0.4155
S 0.4005 0.8950 0.8559
S 0.4132 0.7190 0.4444
S 0.2810 0.5868 0.0556
S 0.2899 0.1422 0.5845
S 0.5995 0.1050 0.1441
S 0.7383 0.5589 0.6562
S 0.4411 0.2617 0.8438
S 0.5589 0.7383 0.1562
S 0.8578 0.7101 0.9155
S 0.2617 0.4411 0.3438
S 0.5868 0.2810 0.5556
S 0.1422 0.2899 0.0845
La 0.6148 0.3852 0.2500
La 0.9272 0.6857 0.1863
La 0.3852 0.6148 0.7500
La 0.0728 0.3143 0.8137
La 0.6857 0.9272 0.6863
La 0.3143 0.0728 0.3137
Cl 0.9900 0.0100 0.2500
Cl 0.0100 0.9900 0.7500

Values from the calculation:
Formation energy without anion corrections, eV/atom: -1.61
DOS(E_F), states/eV/f.u.: 0.0


Compound: LaSnSCl2
Source: Alexandria via LeMat-Bulk
Functional: PBE-GGA
Structure: relaxed

a b c (Å): 5.2944 5.2944 5.4324
angles (deg): 90.00 90.00 90.00
Each line ends with the local moment (μB).
Positions (direct):
La 0.5000 0.5000 0.5000  0.57
Cl 0.0000 0.5000 0.0000  0.00
Cl 0.5000 0.0000 0.0000  0.00
Sn 0.0000 0.0000 0.0000  0.00
S 0.0000 0.0000 0.5000  -0.02

Values from the calculation:
Formation energy without anion corrections, eV/atom: -0.72
Offset from the most stable computed form, meV/atom: 427.1
DOS(E_F), states/eV/f.u.: 6.8


Compound: LaSnSCl2
Source: Alexandria via LeMat-Bulk
Functional: PBE-GGA
Structure: relaxed

a b c (Å): 5.5188 5.5188 5.5680
angles (deg): 90.00 90.00 90.00
Positions (direct):
Cl 0.0000 0.5000 0.0000
Cl 0.5000 0.0000 0.0000
La 0.0000 0.0000 0.0000
S 0.0000 0.0000 0.5000
Sn 0.5000 0.5000 0.5000

Values from the calculation:
Formation energy without anion corrections, eV/atom: -1.15
Offset from the most stable computed form, meV/atom: 0.0
DOS(E_F), states/eV/f.u.: 4.3


Compound: SrLaSCl2
Source: Alexandria via LeMat-Bulk
Functional: PBE-GGA
Structure: relaxed

a b c (Å): 5.3503 5.3503 5.6983
angles (deg): 90.00 90.00 90.00
Each line ends with the local moment (μB).
Positions (direct):
Cl 0.0000 0.5000 0.0000  0.00
Cl 0.5000 0.0000 0.0000  0.00
Sr 0.0000 0.0000 0.0000  0.00
S 0.0000 0.0000 0.5000  -0.01
La 0.5000 0.5000 0.5000  0.33

Values from the calculation:
Formation energy without anion corrections, eV/atom: -1.44
Offset from the most stable computed form, meV/atom: 273.6
DOS(E_F), states/eV/f.u.: 6.3


Compound: SrLaSCl2
Source: Alexandria via LeMat-Bulk
Functional: PBE-GGA
Structure: relaxed

a b c (Å): 5.5915 5.5915 5.5456
angles (deg): 90.00 90.00 90.00
Positions (direct):
S 0.0000 0.0000 0.5000
La 0.0000 0.0000 0.0000
Cl 0.5000 0.0000 0.0000
Cl 0.0000 0.5000 0.0000
Sr 0.5000 0.5000 0.5000

Values from the calculation:
Formation energy without anion corrections, eV/atom: -1.71
Offset from the most stable computed form, meV/atom: 0.0
DOS(E_F), states/eV/f.u.: 3.7


Compound: SrLaSCl2
Source: Alexandria via LeMat-Bulk
Functional: PBE-GGA
Structure: relaxed

a b c (Å): 5.2262 8.5694 5.2262
angles (deg): 90.00 90.00 90.00
Each line ends with the local moment (μB).
Positions (direct):
Sr 0.0000 0.5000 0.0000  0.05
La 0.0000 0.0000 0.0000  0.23
Cl 0.5000 0.0000 0.0000  -0.01
Cl 0.0000 0.0000 0.5000  0.00
S 0.5000 0.5000 0.5000  0.05

Values from the calculation:
Formation energy without anion corrections, eV/atom: -1.18
Offset from the most stable computed form, meV/atom: 531.0
DOS(E_F), states/eV/f.u.: 0.5


Compound: LaTcSCl2
Source: Alexandria via LeMat-Bulk
Functional: PBE-GGA
Structure: relaxed

a b c (Å): 5.5367 5.5367 5.5726
angles (deg): 90.00 90.00 90.00
Each line ends with the local moment (μB).
Positions (direct):
S 0.0000 0.0000 0.5000  0.03
Tc 0.5000 0.5000 0.5000  4.14
Cl 0.5000 0.0000 0.0000  0.03
Cl 0.0000 0.5000 0.0000  0.03
La 0.0000 0.0000 0.0000  0.00

Values from the calculation:
Formation energy without anion corrections, eV/atom: -0.39
Offset from the most stable computed form, meV/atom: 354.9
DOS(E_F), states/eV/f.u.: 4.3


Question: Among the records above, which one has the lowest formation energy without anion corrections?
Answer: number 6